Pr8Al2In: relaxed, PBE-GGA.

Output
As for the space-group type: Immm (71). The excess energy over the best structure of this formula in the dataset comes out at 0.024 eV/atom. The calculation puts the total energy at -4.5779 eV/atom. For the magnetization, the calculation gives 0.0 μB per formula unit. The calculation puts the energy of formation from the pure elements at -172 meV per atom. The calculation puts the density at 6.22 g cm⁻³.

Cell and atoms, written as POSCAR:
```
Pr8Al2In
1.0
-3.940 -0.814 -3.237
5.657 -1.019 -6.630
-0.505 -6.567 6.385
Pr In Al
8 1 2
Direct
0.000 0.316 0.000 Pr
0.661 0.881 0.322 Pr
0.855 0.855 0.710 Pr
0.339 0.560 0.678 Pr
0.000 0.684 0.000 Pr
0.339 0.119 0.678 Pr
0.661 0.440 0.322 Pr
0.145 0.145 0.290 Pr
0.500 0.000 0.000 In
0.807 0.307 0.615 Al
0.193 0.693 0.385 Al
```